[1]
! Na4Sm3CrO8 GGA+U relaxed; values from VASP
&SYSTEM
  ibrav = 0, nat = 16, ntyp = 4
/
ATOMIC_SPECIES
Na 22.99 Na.upf
Sm 150.36 Sm.upf
Cr 52.00 Cr.upf
O 16.00 O.upf
ATOMIC_POSITIONS crystal
Na 0.000 0.000 0.000
Na 0.000 0.500 0.500
Na 0.500 0.000 0.500
Na 0.500 0.500 0.000
Sm 0.000 0.000 0.500
Sm 0.000 0.500 0.000
Sm 0.500 0.000 0.000
Cr 0.500 0.500 0.500
O 0.239 0.239 0.239
O 0.261 0.724 0.724
O 0.276 0.276 0.739
O 0.276 0.739 0.276
O 0.724 0.261 0.724
O 0.724 0.724 0.261
O 0.739 0.276 0.276
O 0.761 0.761 0.761
CELL_PARAMETERS angstrom
3.415 1.971 5.591
-3.415 1.971 5.591
0.000 -3.943 5.591
! Fermi-level density of states, states/eV/atom: 0.000
! Final energy, eV for the cell shown: -105.13



[2]
! NaSmCrO4 GGA+U relaxed; values from VASP
&SYSTEM
  ibrav = 0, nat = 14, ntyp = 4
/
ATOMIC_SPECIES
Na 22.99 Na.upf
Sm 150.36 Sm.upf
Cr 52.00 Cr.upf
O 16.00 O.upf
ATOMIC_POSITIONS crystal
Na 0.373 0.123 0.250
Na 0.627 0.877 0.750
Sm 0.000 0.500 0.500
Sm 0.500 0.500 0.000
Cr 0.000 0.000 0.500
Cr 0.000 0.500 0.000
O 0.189 0.750 0.440
O 0.190 0.250 0.940
O 0.210 0.223 0.514
O 0.210 0.696 0.986
O 0.790 0.304 0.014
O 0.790 0.777 0.486
O 0.810 0.750 0.060
O 0.811 0.250 0.560
CELL_PARAMETERS angstrom
-3.071 3.518 4.598
3.071 -3.518 4.598
3.071 3.518 -4.598
! Fermi-level density of states, states/eV/atom: 0.026
! Final energy, eV for the cell shown: -97.25



[3]
! Na2SmCrO4 GGA+U relaxed; values from VASP
&SYSTEM
  ibrav = 0, nat = 8, ntyp = 4
/
ATOMIC_SPECIES
Na 22.99 Na.upf
Sm 150.36 Sm.upf
Cr 52.00 Cr.upf
O 16.00 O.upf
ATOMIC_POSITIONS crystal
Na 0.000 0.000 0.000
Na 0.500 0.500 0.000
Sm 0.000 0.500 0.500
Cr 0.500 0.000 0.500
O 0.266 0.000 0.712
O 0.290 0.500 0.297
O 0.710 0.500 0.703
O 0.734 0.000 0.288
CELL_PARAMETERS angstrom
5.664 0.000 0.000
0.000 3.312 0.000
-1.927 0.000 5.539
! Fermi-level density of states, states/eV/atom: 0.000
! Final energy, eV for the cell shown: -52.24



[4]
! NaSmCr2O8 GGA+U relaxed; values from VASP
&SYSTEM
  ibrav = 0, nat = 12, ntyp = 4
/
ATOMIC_SPECIES
Na 22.99 Na.upf
Sm 150.36 Sm.upf
Cr 52.00 Cr.upf
O 16.00 O.upf
ATOMIC_POSITIONS crystal
Na 0.000 0.000 0.000
Sm 0.250 0.750 0.500
Cr 0.500 0.500 0.000
Cr 0.750 0.250 0.500
O 0.346 0.162 0.816
O 0.346 0.529 0.184
O 0.408 0.084 0.324
O 0.471 0.654 0.816
O 0.761 0.084 0.676
O 0.838 0.654 0.184
O 0.916 0.239 0.324
O 0.916 0.592 0.676
CELL_PARAMETERS angstrom
-3.676 3.676 3.164
3.676 -3.676 3.164
3.676 3.676 -3.164
! Fermi-level density of states, states/eV/atom: 0.000
! Final energy, eV for the cell shown: -83.08



[5]
! NaCrSnO4 GGA+U relaxed; values from VASP
&SYSTEM
  ibrav = 0, nat = 14, ntyp = 4
/
ATOMIC_SPECIES
Na 22.99 Na.upf
Cr 52.00 Cr.upf
Sn 118.71 Sn.upf
O 16.00 O.upf
ATOMIC_POSITIONS crystal
Na 0.383 0.133 0.250
Na 0.617 0.867 0.750
Cr 0.000 0.000 0.500
Cr 0.000 0.500 0.000
Sn 0.000 0.500 0.500
Sn 0.500 0.500 0.000
O 0.191 0.733 0.458
O 0.225 0.267 0.958
O 0.232 0.261 0.529
O 0.232 0.703 0.971
O 0.768 0.297 0.029
O 0.768 0.739 0.471
O 0.775 0.733 0.042
O 0.809 0.267 0.542
CELL_PARAMETERS angstrom
-3.123 3.224 4.464
3.123 -3.224 4.464
3.123 3.224 -4.464
! Fermi-level density of states, states/eV/atom: 0.000
! Final energy, eV for the cell shown: -90.48



[6]
! NaSrCrO4 GGA+U relaxed; values from VASP
&SYSTEM
  ibrav = 0, nat = 14, ntyp = 4
/
ATOMIC_SPECIES
Na 22.99 Na.upf
Sr 87.62 Sr.upf
Cr 52.00 Cr.upf
O 16.00 O.upf
ATOMIC_POSITIONS crystal
Na 0.140 0.250 0.010
Na 0.860 0.750 0.990
Sr 0.264 0.250 0.554
Sr 0.736 0.750 0.446
Cr 0.281 0.750 0.822
Cr 0.719 0.250 0.178
O 0.070 0.524 0.743
O 0.070 0.976 0.743
O 0.406 0.750 0.085
O 0.472 0.750 0.674
O 0.528 0.250 0.326
O 0.594 0.250 0.915
O 0.930 0.024 0.257
O 0.930 0.476 0.257
CELL_PARAMETERS angstrom
5.738 0.000 0.000
0.000 5.928 0.000
-2.322 0.000 6.379
! Final energy, eV for the cell shown: -88.45



no.,M_tot (μB per formula unit)
1,2.98
2,2.00
3,3.00
4,0.00
5,3.00
6,1.00